# 1
The following is a DFT calculation (GGA-PBE) of crystalline CaNpPtRh at its relaxed geometry.

The structure belongs to space group F-43m (No. 216); the cell edges are 6.891, 6.891 and 6.891 Å and the angles 90.00°, 90.00° and 90.00°. Symmetry generates all atoms from Ca at (0.000, 0.000, 0.000), Np at (0.000, 0.000, 0.500), Pt at (0.250, 0.250, 0.250) and Rh at (0.250, 0.250, 0.750).

The total magnetization is 14.135 μB per cell. Its energy of formation from the pure elements is -174 kJ/mol of formula units. The volume comes out at 81.80 Å³/f.u.

# 2
The following is a DFT calculation (GGA-PBE) of crystalline BeCuSe2 at its relaxed geometry.

The structure belongs to space group I-4m2 (No. 119); the cell edges are 3.357, 3.357 and 18.763 Å and the angles 90.00°, 90.00° and 90.00°. Symmetry generates all atoms from Be at (0.000, 0.000, 0.000), Cu at (0.000, 0.500, 0.750), Se at (0.000, 0.000, 0.500) and Se at (0.000, 0.500, 0.250).

The total magnetization is 0.000 μB per cell. The volume comes out at 105.71 Å³/f.u. The uncorrected formation energy is 0.10 eV per atom.

# 3
The following is a DFT calculation (GGA-PBE) of crystalline LiTlSnRu at its relaxed geometry.

The structure belongs to space group F-43m (No. 216); the cell edges are 6.627, 6.627 and 6.627 Å and the angles 90.00°, 90.00° and 90.00°. Symmetry generates all atoms from Li at (0.000, 0.000, 0.000), Tl at (0.250, 0.250, 0.250), Sn at (0.250, 0.250, 0.750) and Ru at (0.000, 0.000, 0.500).

The total magnetization is 0.000 μB per cell. Its energy of formation from the pure elements is 3 kJ/mol of formula units. The volume comes out at 72.76 Å³/f.u.

# 4
The following is a DFT calculation (GGA-PBE) of crystalline AgTe2As at its relaxed geometry.

The structure belongs to space group R3m (No. 160, hexagonal axes); the cell edges are 4.1041, 4.1041 and 21.8261 Å and the angles 90.00°, 90.00° and 120.00°. Symmetry generates all atoms from Ag at (0.0000, 0.0000, 0.0000), Te at (0.0000, 0.0000, 0.5801), Te at (0.0000, 0.0000, 0.7561) and As at (0.0000, 0.0000, 0.1686).

The total magnetization is 0.000 μB per cell. The volume comes out at 106.13 Å³/f.u. The uncorrected formation energy is 0.04 eV per atom.

# 5
The following is a DFT calculation (GGA-PBE) of crystalline SrInTc2 at its relaxed geometry.

The structure belongs to space group C2/m (No. 12); the cell edges are 6.096, 9.779 and 2.825 Å and the angles 90.00°, 110.34° and 90.00°. Symmetry generates all atoms from Sr at (0.000, 0.000, 0.000), In at (0.000, 0.500, 0.000) and Tc at (0.250, 0.250, 0.500).

The total magnetization is 0.005 μB per cell. Its energy of formation from the pure elements is 323 kJ/mol of formula units. The volume comes out at 78.94 Å³/f.u.

# 6
The following is a DFT calculation (GGA-PBE) of crystalline Na2HoAgSb2 at its relaxed geometry.

The structure belongs to space group Pmc2_1 (No. 26); the cell edges are 4.519, 9.151 and 7.599 Å and the angles 90.00°, 90.00° and 90.00°. Symmetry generates all atoms from Na at (0.000, 0.068, 0.000), Na at (0.500, 0.166, 0.315), Ho at (0.500, 0.447, 0.926), Ag at (0.000, 0.318, 0.592), Sb at (0.000, 0.384, 0.211) and Sb at (0.500, 0.165, 0.722).

The total magnetization is 0.000 μB per cell. The volume comes out at 157.14 Å³/f.u. The uncorrected formation energy is -0.58 eV per atom.

- What is the formula in the first record?
  CaNpPtRh

- The highest volume belongs to which entry?
  Na2HoAgSb2

- Among the records above, which one has the highest volume?
  Na2HoAgSb2